A plane-wave DFT calculation with PBE was carried out for a relaxed structure of Na4CeSc3Te8.

Results
**V**: 30.48 A^3/atom

```
data_Na4CeSc3Te8
_chemical_formula_sum 'Na12 Ce3 Sc9 Te24'
_cell_length_a 8.6439
_cell_length_b 8.6439
_cell_length_c 22.6106
_cell_angle_alpha 90.00
_cell_angle_beta 90.00
_cell_angle_gamma 120.00
_symmetry_space_group_name_H-M 'R -3 m'
_symmetry_Int_Tables_number 166
_symmetry_space_group_name_Hall '-R 3 2"'
loop_
_atom_site_label
_atom_site_type_symbol
_atom_site_fract_x
_atom_site_fract_y
_atom_site_fract_z
Na1 Na 0.0000 0.0000 0.0000
Na2 Na 0.0000 0.5000 0.0000
Ce1 Ce 0.0000 0.0000 0.5000
Sc1 Sc 0.0000 0.5000 0.5000
Te1 Te 0.0000 0.0000 0.2393
Te2 Te 0.0161 0.5080 0.7577
```


A plane-wave DFT calculation with PBE was carried out for a relaxed structure of Ce2PmSi2Ag2.

Results
**V**: 21.91 A^3/atom

```
data_Ce2PmSi2Ag2
_chemical_formula_sum 'Ce6 Pm3 Si6 Ag6'
_cell_length_a 4.4067
_cell_length_b 4.4067
_cell_length_c 27.3621
_cell_angle_alpha 90.00
_cell_angle_beta 90.00
_cell_angle_gamma 120.00
_symmetry_space_group_name_H-M 'R -3 m'
_symmetry_Int_Tables_number 166
_symmetry_space_group_name_Hall '-R 3 2"'
loop_
_atom_site_label
_atom_site_type_symbol
_atom_site_fract_x
_atom_site_fract_y
_atom_site_fract_z
Ce1 Ce 0.0000 0.0000 0.1420
Pm1 Pm 0.0000 0.0000 0.0000
Si1 Si 0.0000 0.0000 0.2599
Ag1 Ag 0.0000 0.0000 0.4058
```


How do the records compare in total moment? In the order shown, they have 2.9 4.8 Bohr magnetons per cell.
How do the records compare in uncorrected formation energy? In the order shown, they have -1192 -391 meV/atom.
How do the records compare in theoretical density? In the order shown, they have 4.73 7.55 g/cm³.